(1)
DFT (PBE) results for InIr after structural relaxation.

Unit cell a=3.9933 b=3.9933 c=8.7667 alpha=90.00 beta=90.00 gamma=90.00
Last column: nearest neighbours and their distance in Å.
Space group I4_1/amd (No. 141, origin choice 2)
Unique sites:
In 0.0000 0.2500 0.3750  8 Ir 2.82-2.96, 4 In 2.96
Ir 0.0000 0.2500 0.8750  8 In 2.82-2.96, 4 Ir 2.96

Formation enthalpy at 0 K ... 0.15 eV per atom

=====

(2)
DFT (PBE) results for SrPrZn after structural relaxation.

Unit cell a=3.8057 b=3.8057 c=13.7248 alpha=90.00 beta=90.00 gamma=90.00
Last column: nearest neighbours and their distance in Å.
Space group I4mm (No. 107)
Unique sites:
Sr 0.0000 0.0000 0.0000  4 Zn 3.41, 1 Pr 3.71, 4 Sr 3.81
Pr 0.0000 0.0000 0.2703  4 Zn 3.14
Zn 0.0000 0.0000 0.6521  4 Pr 3.14, 4 Sr 3.41

Formation enthalpy at 0 K ... -0.13 eV per atom

=====

(3)
DFT (PBE) results for V4NiH5 after structural relaxation.

Unit cell a=12.0062 b=2.5448 c=7.0163 alpha=90.00 beta=104.01 gamma=90.00
Last column: nearest neighbours and their distance in Å.
Space group C2/m (No. 12)
Unique sites:
V 0.0007 0.0000 0.2088  4 H 1.88-1.98
V 0.1662 0.5000 0.0681  6 H 1.84-1.94
Ni 0.0000 0.5000 0.5000  4 V 2.41, 2 Ni 2.54
H 0.0000 0.5000 0.0000  6 V 1.94
H 0.1613 0.0000 0.2560  3 V 1.84-1.88
H 0.1686 0.0000 0.8792  4 V 1.84-1.98

E_tot ... -5.82 eV per atom

=====

(4)
DFT (PBE) results for Ac5InOs2 after structural relaxation.

Unit cell a=8.3755 b=8.3755 c=15.0061 alpha=90.00 beta=90.00 gamma=90.00
Last column: nearest neighbours and their distance in Å.
Space group I4/mcm (No. 140)
Unique sites:
Ac 0.0000 0.0000 0.0000  4 Os 3.24
Ac 0.1611 0.3389 0.1284  3 Os 3.06-3.17
In 0.0000 0.0000 0.2500  10 Ac 3.63-3.75
Os 0.1382 0.3618 0.5000  8 Ac 3.06-3.24, 1 Os 3.27

Formation enthalpy at 0 K ... -0.15 eV per atom

=====

(5)
DFT (PBE) results for Pu2ThPb2 after structural relaxation.

Unit cell a=5.2788 b=5.2788 c=12.5421 alpha=90.00 beta=90.00 gamma=120.00
Last column: nearest neighbours and their distance in Å.
Space group P6_3/mmc (No. 194)
Unique sites:
Pu 0.0000 0.0000 0.0000  2 Th 3.14, 6 Pb 3.39
Pu 0.3333 0.6667 0.2500  3 Th 3.05
Th 0.0000 0.0000 0.2500  5 Pu 3.05-3.14
Pb 0.3333 0.6667 0.6191  1 Pb 3.28, 6 Pu 3.39-3.46, 3 Th 3.46

Formation enthalpy at 0 K ... 0.10 eV per atom

=====

(6)
DFT (PBE) results for Rb2TePb2S2 after structural relaxation.

Unit cell a=15.1427 b=4.6383 c=9.0883 alpha=90.00 beta=116.95 gamma=90.00
Last column: nearest neighbours and their distance in Å.
Space group C2/m (No. 12)
Unique sites:
Rb 0.0347 0.0000 0.2283  2 Te 3.60, 4 S 3.61-3.77, 1 Rb 3.79, 1 Pb 3.95
Te 0.0000 0.5000 0.5000  2 Pb 3.18
Pb 0.2146 0.5000 0.8067  3 S 2.68-2.98
S 0.1517 0.5000 0.0391  3 Pb 2.68-2.98

Formation energy without anion corrections ... -0.680 eV per atom

=====

(7)
DFT (PBE) results for MgGa3Pd after structural relaxation.

Unit cell a=3.1025 b=8.4146 c=7.2210 alpha=90.00 beta=90.00 gamma=90.00
Last column: nearest neighbours and their distance in Å.
Space group Pmmn (No. 59, origin choice 2)
Unique sites:
Mg 0.2500 0.2500 0.0917  1 Pd 2.76, 6 Ga 2.80-2.99
Ga 0.2500 0.5237 0.6726  3 Pd 2.68-2.71, 4 Ga 2.86-2.96, 2 Mg 2.99
Ga 0.2500 0.7500 0.2313  2 Pd 2.63, 2 Mg 2.80, 4 Ga 2.86
Pd 0.2500 0.2500 0.4744  8 Ga 2.63-2.71, 1 Mg 2.76

Formation enthalpy at 0 K ... -0.25 eV per atom

=====

(8)
DFT (PBE) results for LaAg2As after structural relaxation.

Unit cell a=4.2369 b=4.2369 c=22.1414 alpha=90.00 beta=90.00 gamma=90.00
Last column: nearest neighbours and their distance in Å.
Space group I-42d (No. 122)
Unique sites:
La 0.0000 0.0000 0.0000  4 As 3.00, 4 Ag 3.18
Ag 0.2279 0.2500 0.6250  4 Ag 2.87-3.13, 2 As 3.12, 2 La 3.18
As 0.0000 0.0000 0.5000  4 La 3.00, 4 Ag 3.12

Formation enthalpy at 0 K ... -0.38 eV per atom

=====

(9)
DFT (PBE) results for KReTc2 after structural relaxation.

Unit cell a=2.7765 b=2.7765 c=9.7199 alpha=90.00 beta=90.00 gamma=90.00
Last column: nearest neighbours and their distance in Å.
Space group P4mm (No. 99)
Unique sites:
K 0.0000 0.0000 0.0000  4 K 2.78
Re 0.5000 0.5000 0.3083  4 Tc 2.70, 4 Re 2.78
Tc 0.0000 0.0000 0.4995  8 Tc 2.68-2.78, 4 Re 2.70
Tc 0.5000 0.5000 0.6871  8 Tc 2.68-2.78

Formation enthalpy at 0 K ... 0.84 eV per atom

=====

(10)
DFT (PBE) results for BaReSe2 after structural relaxation.

Unit cell a=4.1396 b=4.1396 c=19.6489 alpha=90.00 beta=90.00 gamma=120.00
Last column: nearest neighbours and their distance in Å.
Space group R3m (No. 160, hexagonal axes)
Unique sites:
Ba 0.0000 0.0000 0.0000  6 Se 3.19-3.34
Re 0.0000 0.0000 0.1826  6 Se 2.54-2.70
Se 0.0000 0.0000 0.5594  3 Re 2.54
Se 0.0000 0.0000 0.7853  3 Re 2.70

Formation energy without anion corrections ... -0.477 eV per atom

=====

(11)
DFT (PBE) results for BaSbAu2 after structural relaxation.

Unit cell a=5.6542 b=9.4503 c=4.8440 alpha=90.00 beta=90.00 gamma=90.00
Last column: nearest neighbours and their distance in Å.
Space group Cmmm (No. 65)
Unique sites:
Ba 0.0000 0.0000 0.0000  8 Au 3.67, 4 Sb 3.72
Sb 0.0000 0.5000 0.5000  4 Au 2.75
Au 0.2500 0.2500 0.5000  2 Sb 2.75, 2 Au 2.83

Formation energy without anion corrections ... -0.546 eV per atom

=====

(12)
DFT (PBE) results for KCdBr after structural relaxation.

Unit cell a=8.0482 b=8.0482 c=8.0482 alpha=90.00 beta=90.00 gamma=90.00
Last column: nearest neighbours and their distance in Å.
Space group F-43m (No. 216)
Unique sites:
K 0.0000 0.0000 0.0000  4 Cd 3.48
Cd 0.2500 0.2500 0.2500  4 K 3.48, 4 Br 3.48
Br 0.0000 0.0000 0.5000  4 Cd 3.48

Formation energy without anion corrections ... -0.674 eV per atom

=====

(13)
DFT (PBE) results for ZrSiRu2 after structural relaxation.

Unit cell a=4.3154 b=4.3154 c=3.2367 alpha=90.00 beta=90.00 gamma=90.00
Last column: nearest neighbours and their distance in Å.
Space group P4/mmm (No. 123)
Unique sites:
Zr 0.0000 0.0000 0.0000  8 Ru 2.70
Si 0.5000 0.5000 0.0000  8 Ru 2.70
Ru 0.0000 0.5000 0.5000  4 Zr 2.70, 4 Si 2.70

Formation energy without anion corrections ... -0.646 eV per atom